<1>
## Pm2AsO (GGA-PBE)

Data for a relaxed Pm2AsO crystal.

Geometry as POSCAR:
```
Pm2AsO
1.0
3.806 0.000 0.000
-1.903 3.297 0.000
0.000 0.000 20.585
Pm As O
6 3 3
direct
0.000 0.000 0.000
0.000 0.000 0.156
0.333 0.667 0.667
0.333 0.667 0.823
0.667 0.333 0.333
0.667 0.333 0.489
0.000 0.000 0.578
0.333 0.667 0.244
0.667 0.333 0.911
0.000 0.000 0.405
0.333 0.667 0.072
0.667 0.333 0.738
```

As for the space-group type: No. 160.

***

<2>
## Pm2AsO (GGA-PBE)

Data for a relaxed Pm2AsO crystal.

Geometry as POSCAR:
```
Pm2AsO
1.0
5.830 0.000 0.000
0.000 5.828 0.000
-5.403 0.000 10.812
Pm As O
8 4 4
direct
0.105 0.216 0.109
0.105 0.784 0.609
0.319 0.231 0.859
0.319 0.769 0.359
0.681 0.231 0.641
0.681 0.769 0.141
0.895 0.216 0.391
0.895 0.784 0.891
0.378 0.266 0.375
0.378 0.734 0.875
0.622 0.266 0.125
0.622 0.734 0.625
0.063 0.185 0.623
0.063 0.815 0.123
0.937 0.185 0.877
0.937 0.815 0.377
```

As for the space-group type: No. 13.

***

The most stable of them is <2>.

***

<1>
## Pm2AsO5 (GGA-PBE)

Data for a relaxed Pm2AsO5 crystal.

Geometry as POSCAR:
```
Pm2AsO5
1.0
9.805 0.000 0.000
0.000 7.184 0.000
-1.619 0.000 6.633
Pm As O
8 4 20
direct
0.033 0.121 0.242
0.033 0.379 0.742
0.368 0.130 0.062
0.368 0.370 0.562
0.632 0.630 0.438
0.632 0.870 0.938
0.967 0.621 0.258
0.967 0.879 0.758
0.297 0.597 0.060
0.297 0.903 0.560
0.703 0.097 0.440
0.703 0.403 0.940
0.096 0.642 0.968
0.096 0.858 0.468
0.121 0.110 0.943
0.121 0.390 0.443
0.286 0.079 0.361
0.286 0.421 0.861
0.383 0.717 0.475
0.383 0.783 0.975
0.420 0.068 0.739
0.420 0.432 0.239
0.580 0.568 0.761
0.580 0.932 0.261
0.617 0.217 0.025
0.617 0.283 0.525
0.714 0.579 0.139
0.714 0.921 0.639
0.879 0.610 0.557
0.879 0.890 0.057
0.904 0.142 0.532
0.904 0.358 0.032
```

As for the space-group type: No. 14.

***

<2>
## Pm2AsO5 (GGA-PBE)

Data for a relaxed Pm2AsO5 crystal.

Geometry as POSCAR:
```
Pm2AsO5
1.0
4.633 0.000 0.000
-2.312 5.130 0.000
-2.307 -1.311 5.403
Pm As O
2 1 5
direct
0.000 0.000 0.000
0.082 0.658 0.504
0.518 0.329 0.752
0.132 0.330 0.753
0.275 0.089 0.421
0.445 0.999 0.887
0.641 0.659 0.618
0.847 0.568 0.083
```

As for the space-group type: No. 1.

***

The most stable of them is <1>.

***

<1>
## PrAsO4 (GGA-PBE)

Data for a relaxed PrAsO4 crystal.

Geometry as POSCAR:
```
PrAsO4
1.0
-2.599 2.599 5.920
2.599 -2.599 5.920
2.599 2.599 -5.920
Pr As O
2 2 8
direct
0.375 0.125 0.250
0.625 0.875 0.750
0.125 0.375 0.750
0.875 0.625 0.250
0.067 0.700 0.862
0.200 0.838 0.633
0.295 0.433 0.133
0.338 0.205 0.638
0.662 0.795 0.362
0.705 0.567 0.867
0.800 0.162 0.367
0.933 0.300 0.138
```

As for the space-group type: No. 88.

***

<2>
## PrAsO4 (GGA-PBE)

Data for a relaxed PrAsO4 crystal.

Geometry as POSCAR:
```
PrAsO4
1.0
-3.707 3.707 3.279
3.707 -3.707 3.279
3.707 3.707 -3.279
Pr As O
2 2 8
direct
0.375 0.625 0.750
0.625 0.375 0.250
0.125 0.875 0.250
0.875 0.125 0.750
0.134 0.706 0.428
0.222 0.294 0.928
0.294 0.222 0.428
0.294 0.866 0.072
0.706 0.134 0.928
0.706 0.778 0.572
0.778 0.706 0.072
0.866 0.294 0.572
```

As for the space-group type: No. 141.

***

The most stable of them is <2>.

***

<1>
## AsPt2O (GGA-PBE)

Data for a relaxed AsPt2O crystal.

Geometry as POSCAR:
```
AsPt2O
1.0
6.037 0.000 0.000
0.000 6.037 0.000
0.000 0.000 6.037
As Pt O
4 8 4
direct
0.000 0.000 0.000
0.000 0.500 0.500
0.500 0.000 0.500
0.500 0.500 0.000
0.250 0.250 0.250
0.250 0.250 0.750
0.250 0.750 0.250
0.250 0.750 0.750
0.750 0.250 0.250
0.750 0.250 0.750
0.750 0.750 0.250
0.750 0.750 0.750
0.000 0.000 0.500
0.000 0.500 0.000
0.500 0.000 0.000
0.500 0.500 0.500
```

As for the space-group type: No. 225.

***

<2>
## AsPt2O (GGA-PBE)

Data for a relaxed AsPt2O crystal.

Geometry as POSCAR:
```
AsPt2O
1.0
5.880 0.000 0.000
0.000 5.880 0.000
0.000 0.000 7.741
As Pt O
4 8 4
direct
0.000 0.000 0.000
0.000 0.500 0.250
0.500 0.000 0.750
0.500 0.500 0.500
0.222 0.750 0.625
0.250 0.222 0.375
0.250 0.278 0.875
0.278 0.750 0.125
0.722 0.250 0.125
0.750 0.722 0.875
0.750 0.778 0.375
0.778 0.250 0.625
0.000 0.000 0.500
0.000 0.500 0.750
0.500 0.000 0.250
0.500 0.500 0.000
```

As for the space-group type: No. 122.

***

The most stable of them is <2>.

***

<1>
## AsPtSe2O (GGA-PBE)

Data for a relaxed AsPtSe2O crystal.

Geometry as POSCAR:
```
AsPtSe2O
1.0
5.120 0.000 0.000
0.000 5.120 0.000
0.000 0.000 4.740
As Pt Se O
1 1 2 1
direct
0.000 0.000 0.000
0.000 0.000 0.500
0.000 0.500 0.500
0.500 0.000 0.500
0.500 0.500 0.000
```

As for the space-group type: No. 123.

***

<2>
## AsPtSe2O (GGA-PBE)

Data for a relaxed AsPtSe2O crystal.

Geometry as POSCAR:
```
AsPtSe2O
1.0
4.440 0.000 0.000
0.000 4.440 0.000
0.000 0.000 4.342
As Pt Se O
1 1 2 1
direct
0.000 0.000 0.000
0.500 0.500 0.000
0.000 0.500 0.500
0.500 0.000 0.500
0.000 0.000 0.500
```

As for the space-group type: No. 123.

***

The most stable of them is <2>.

***

<1>
## Pu3As3O (GGA-PBE)

Data for a relaxed Pu3As3O crystal.

Geometry as POSCAR:
```
Pu3As3O
1.0
3.927 -5.839 0.000
3.927 5.839 0.000
-0.814 0.000 6.998
Pu As O
6 6 2
direct
0.111 0.111 0.305
0.133 0.456 0.773
0.456 0.133 0.773
0.544 0.867 0.227
0.867 0.544 0.227
0.889 0.889 0.695
0.168 0.832 0.000
0.239 0.761 0.500
0.412 0.412 0.127
0.588 0.588 0.873
0.761 0.239 0.500
0.832 0.168 0.000
0.180 0.180 0.640
0.820 0.820 0.360
```

As for the space-group type: No. 12.

***

<2>
## Pu3As3O (GGA-PBE)

Data for a relaxed Pu3As3O crystal.

Geometry as POSCAR:
```
Pu3As3O
1.0
11.274 0.000 0.000
0.000 4.151 0.000
0.000 0.000 13.010
Pu As O
12 12 4
direct
0.011 0.250 0.149
0.128 0.250 0.642
0.249 0.750 0.403
0.251 0.250 0.903
0.372 0.750 0.142
0.489 0.750 0.649
0.511 0.250 0.351
0.628 0.250 0.858
0.749 0.750 0.097
0.751 0.250 0.597
0.872 0.750 0.358
0.989 0.750 0.851
0.057 0.250 0.391
0.145 0.750 0.027
0.234 0.250 0.250
0.266 0.750 0.750
0.355 0.250 0.527
0.443 0.750 0.891
0.557 0.250 0.109
0.645 0.750 0.473
0.734 0.250 0.250
0.766 0.750 0.750
0.855 0.250 0.973
0.943 0.750 0.609
0.073 0.250 0.812
0.427 0.750 0.312
0.573 0.250 0.688
0.927 0.750 0.188
```

As for the space-group type: No. 62.

***

The most stable of them is <2>.